{
  "formula": "Hf2ZrScC",
  "functional": "PBE-GGA",
  "state": "optimized geometry",
  "crystal_system": "tetragonal",
  "e_tot_ev_per_cell": -44.91,
  "e_above_lowest_polymorph_mev_per_atom": 79,
  "delta_e_f_ev_per_atom": -0.1806,
  "space_group": "P4/mmm",
  "lattice": [[4.5681, 0.0000, 0.0000], [0.0000, 4.5681, 0.0000], [0.0000, 0.0000, 4.6258]],
  "species": ["Hf", "Hf", "Zr", "Sc", "C"],
  "fractional_positions": [[0.0000, 0.5000, 0.0000], [0.5000, 0.0000, 0.0000], [0.0000, 0.0000, 0.5000], [0.5000, 0.5000, 0.5000], [0.5000, 0.5000, 0.0000]]
}

=====

{
  "formula": "Hf2ZrScC",
  "functional": "PBE-GGA",
  "state": "optimized geometry",
  "crystal_system": "tetragonal",
  "e_tot_ev_per_cell": -45.31,
  "e_above_lowest_polymorph_mev_per_atom": 0,
  "delta_e_f_ev_per_atom": -0.2599,
  "space_group": "P4/mmm",
  "lattice": [[4.5546, 0.0000, 0.0000], [0.0000, 4.5546, 0.0000], [0.0000, 0.0000, 4.7034]],
  "species": ["Hf", "Hf", "Zr", "Sc", "C"],
  "fractional_positions": [[0.0000, 0.5000, 0.0000], [0.5000, 0.0000, 0.0000], [0.0000, 0.0000, 0.5000], [0.5000, 0.5000, 0.5000], [0.0000, 0.0000, 0.0000]]
}

=====

{
  "formula": "Hf2ZrScC",
  "functional": "PBE-GGA",
  "state": "optimized geometry",
  "crystal_system": "tetragonal",
  "e_tot_ev_per_cell": -31.74,
  "e_above_lowest_polymorph_mev_per_atom": 2713,
  "delta_e_f_ev_per_atom": 2.4535,
  "space_group": "P4/mmm",
  "lattice": [[4.9327, 0.0000, 0.0000], [0.0000, 4.9327, 0.0000], [0.0000, 0.0000, 4.9151]],
  "species": ["Hf", "Hf", "Zr", "Sc", "C"],
  "fractional_positions": [[0.0000, 0.5000, 0.0000], [0.5000, 0.0000, 0.0000], [0.0000, 0.0000, 0.5000], [0.0000, 0.0000, 0.0000], [0.5000, 0.5000, 0.5000]]
}